The following is a DFT calculation (GGA-PBE) of a relaxed SrTl2 crystal.

Calculated values
- energy of formation (eV per atom) = -0.292
- total energy (Ha/atom) = -0.0893
- spin magnetization (Bohr magnetons per cell) = 0.0

Unit cell a=4.4217 b=15.8302 c=5.6451 alpha=90.00 beta=90.00 gamma=90.00
With the nearest neighbours (Å) after each atom.
Space group Cmcm (No. 63)
One atom of each set of equivalent atoms:
Sr  0.0000  0.0969  0.2500 [4 per cell]  10 Tl 3.50-3.60
Tl  0.0000  0.2304  0.7500 [4 per cell]  6 Tl 3.32-3.64, 4 Sr 3.52-3.53
Tl  0.0000  0.4257  0.2500 [4 per cell]  4 Tl 3.32-3.67, 6 Sr 3.50-3.60